# P2PbSe

An optimized crystal structure of P2PbSe (PBE, Alexandria).

Structure (POSCAR):
```
P2PbSe
1.0
7.600 -0.044 -0.027
6.661 3.659 -0.027
6.661 1.688 3.246
Se P Pb
1 2 1
Direct
0.747 0.747 0.747
0.272 0.272 0.272
0.986 0.986 0.986
0.494 0.494 0.494
```

Results
Crystal system: trigonal
Spin magnetization: 0.00 μB/f.u.
Uncorrected formation energy: 0.107 eV/f.u.
Relative energy among the computed polymorphs: 46 meV/atom